(1)
A plane-wave DFT calculation with PBE-GGA was carried out for crystalline FeBiPtAu at its relaxed geometry.

Values from the calculation:
Relative energy among the computed polymorphs (eV/atom): 0.0000
Crystal system: cubic

Cell lengths 6.648, 6.648, 6.648 Å; angles 90.00, 90.00, 90.00 degrees
Space group F-43m (No. 216)
Inequivalent atoms, fractional coordinates:
Fe1 0.000 0.000 0.000 (multiplicity 4)
Bi1 0.250 0.250 0.750 (multiplicity 4)
Pt1 0.000 0.000 0.500 (multiplicity 4)
Au1 0.250 0.250 0.250 (multiplicity 4)

(2)
A plane-wave DFT calculation with PBE-GGA was carried out for crystalline YHoBe2Ge2 at its relaxed geometry.

Values from the calculation:
DFT total energy (eV per atom): -5.301
Crystal system: trigonal

Cell lengths 3.9147, 3.9147, 8.0580 Å; angles 90.00, 90.00, 120.00 degrees
Space group P-3m1 (No. 164)
Inequivalent atoms, fractional coordinates:
Y1 0.0000 0.0000 0.0000 (multiplicity 1)
Ho1 0.0000 0.0000 0.5000 (multiplicity 1)
Be1 0.3333 0.6667 0.7490 (multiplicity 2)
Ge1 0.3333 0.6667 0.2516 (multiplicity 2)

(3)
A plane-wave DFT calculation with PBE-GGA was carried out for crystalline CsCo2Cl5 at its relaxed geometry.

Values from the calculation:
DFT total energy (eV per atom): -3.714
Crystal system: tetragonal

Cell lengths 7.491, 7.491, 16.333 Å; angles 90.00, 90.00, 90.00 degrees
Space group I4/mcm (No. 140)
Inequivalent atoms, fractional coordinates:
Cs1 0.000 0.000 0.250 (multiplicity 4)
Co1 0.215 0.285 0.000 (multiplicity 8)
Cl1 0.000 0.000 0.000 (multiplicity 4)
Cl2 0.163 0.337 0.127 (multiplicity 16)

(4)
A plane-wave DFT calculation with PBE-GGA was carried out for crystalline LuInCo2 at its relaxed geometry.

Values from the calculation:
DFT total energy (eV per atom): -5.192
Crystal system: cubic

Cell lengths 6.466, 6.466, 6.466 Å; angles 90.00, 90.00, 90.00 degrees
Space group F-43m (No. 216)
Inequivalent atoms, fractional coordinates:
Lu1 0.000 0.000 0.000 (multiplicity 4)
In1 0.250 0.250 0.750 (multiplicity 4)
Co1 0.000 0.000 0.500 (multiplicity 4)
Co2 0.250 0.250 0.250 (multiplicity 4)

Number 1: density 14.85 g cm⁻³. Number 2: density 6.48 g cm⁻³. Number 3: density 3.10 g cm⁻³. Number 4: density 10.02 g cm⁻³.